(1)
DFT (PBE) results for an optimized crystal structure of La2Y8Sc3.

```
13
Lattice="5.818 0.353 1.354 1.954 8.339 1.669 0.861 -0.505 8.669" Properties=species:S:1:pos:R:3 pbc="T T T"
Sc 1.672 6.057 3.475
Y 3.557 2.898 9.115
Y 4.492 0.566 6.315
Y 5.572 1.388 2.625
Y 2.902 4.655 6.336
La 2.924 2.641 3.793
Sc 2.909 0.176 0.677
La 5.709 5.546 7.899
Y 5.732 3.531 5.357
Y 3.061 6.798 9.068
Y 4.141 7.621 5.378
Y 5.076 5.289 2.577
Sc 1.143 1.777 6.863
```

Computed properties:
M_tot (μB/f.u.): 0.00
Calculated volume (Å³ per cell): 409
Symmetry: C2/m (12)
ΔE_f (eV/atom): 0.19

(2)
DFT (PBE) results for an optimized crystal structure of La2Y3Sc.

```
12
Lattice="5.657 0.000 0.000 0.000 9.798 0.000 0.000 0.000 7.033" Properties=species:S:1:pos:R:3 pbc="T T T"
La 2.828 8.155 1.784
La 2.828 1.643 5.249
Y 2.828 8.170 5.266
La 0.000 3.256 1.733
Y 0.000 6.527 1.750
Y 2.828 1.628 1.767
Sc 2.828 4.899 0.000
Y 0.000 0.000 0.000
Y 0.000 3.271 5.283
Y 2.828 4.899 3.517
Sc 0.000 0.000 3.517
La 0.000 6.542 5.300
```

Computed properties:
M_tot (μB/f.u.): 0.01
Calculated volume (Å³ per cell): 390
Symmetry: Pnnm (58)
ΔE_f (eV/atom): 0.11

(3)
DFT (PBE) results for an optimized crystal structure of La6Y2Sc.

```
18
Lattice="-0.525 -0.659 6.305 9.878 5.118 4.839 2.804 10.766 4.840" Properties=species:S:1:pos:R:3 pbc="T T T"
Y 8.751 12.996 8.875
La 9.725 7.492 11.567
La 8.064 5.266 4.540
La 3.709 5.378 8.429
Sc 5.854 7.522 9.568
Y 3.406 2.229 7.108
La 2.431 7.733 4.416
Y 10.473 11.081 12.027
La 9.069 6.525 8.290
La 7.470 10.088 10.706
Sc 6.302 7.703 6.415
La 4.093 9.958 11.443
La 6.740 3.754 7.568
La 5.416 11.471 8.415
Y 1.683 4.144 3.956
La 3.088 8.700 7.693
La 4.687 5.137 5.277
La 8.447 9.847 7.554
```

Computed properties:
M_tot (μB/f.u.): 0.00
Calculated volume (Å³ per cell): 617
Symmetry: C2/c (15)
ΔE_f (eV/atom): 0.13

(4)
DFT (PBE) results for an optimized crystal structure of La3Y4Sc.

```
8
Lattice="3.410 0.000 -0.825 -1.215 10.617 -5.018 0.275 -2.470 8.594" Properties=species:S:1:pos:R:3 pbc="T T T"
Y 0.696 4.814 2.875
Y 1.321 -0.645 5.456
La 1.811 6.782 0.024
La 0.660 1.364 2.726
Y 1.150 8.792 -2.706
Sc 1.705 0.000 -0.413
Y 1.774 3.332 -0.125
La -0.607 5.308 -2.509
```

Computed properties:
M_tot (μB/f.u.): 0.00
Calculated volume (Å³ per cell): 269
Symmetry: Immm (71)
ΔE_f (eV/atom): 0.14

(5)
DFT (PBE) results for an optimized crystal structure of LaY6Sc2.

```
9
Lattice="3.524 0.000 0.000 0.000 9.601 0.000 0.000 -4.800 8.315" Properties=species:S:1:pos:R:3 pbc="T T T"
Sc 0.000 0.000 5.543
Sc 0.000 4.800 2.772
Y 0.000 -3.319 5.749
La 1.762 0.000 0.000
Y 1.762 3.009 5.211
Y 0.000 1.481 2.566
Y 1.762 -1.792 3.104
Y 1.762 3.584 0.000
Y 0.000 6.638 0.000
```

Computed properties:
M_tot (μB/f.u.): 0.01
Calculated volume (Å³ per cell): 281
Symmetry: P-62m (189)
ΔE_f (eV/atom): 0.06

(6)
DFT (PBE) results for an optimized crystal structure of La3Y8Sc.

```
12
Lattice="-6.124 5.097 -2.773 0.384 -7.714 -3.395 -0.575 -2.677 7.980" Properties=species:S:1:pos:R:3 pbc="T T T"
La -0.095 -5.196 2.292
Y 0.156 -6.817 -0.631
Y -4.624 2.636 -1.557
Y -0.264 -7.279 4.902
Y -1.592 -2.511 0.977
La -3.397 -1.388 3.750
Y -0.026 -8.531 2.074
Y -2.886 0.228 -0.344
Sc 0.000 0.000 0.000
Y -3.419 -4.974 1.914
Y -0.357 -4.122 5.457
La -2.918 -3.906 -1.938
```

Computed properties:
M_tot (μB/f.u.): 0.00
Calculated volume (Å³ per cell): 442
Symmetry: I-42m (121)
ΔE_f (eV/atom): 0.57

(7)
DFT (PBE) results for an optimized crystal structure of La4YSc2.

```
14
Lattice="-5.650 2.388 5.093 6.622 -3.948 -2.032 8.756 14.364 2.306" Properties=species:S:1:pos:R:3 pbc="T T T"
Sc 4.136 11.500 4.954
La 3.175 6.088 2.199
La 0.477 7.172 4.645
La 9.106 12.468 2.450
La -2.514 2.265 3.858
La 0.622 0.336 2.917
Y -2.683 5.578 5.218
Y 12.411 7.227 0.149
Sc 5.592 1.305 0.413
La 12.242 10.540 1.509
Sc 8.408 9.294 2.473
La 6.553 6.717 3.168
La 9.251 5.633 0.722
Sc 1.320 3.511 2.894
```

Computed properties:
M_tot (μB/f.u.): 0.00
Calculated volume (Å³ per cell): 468
Symmetry: C2/c (15)
ΔE_f (eV/atom): 0.21

(8)
DFT (PBE) results for an optimized crystal structure of LaY8Sc4.

```
13
Lattice="6.310 0.000 -3.404 -4.073 5.901 0.000 1.127 0.779 9.640" Properties=species:S:1:pos:R:3 pbc="T T T"
Sc -2.037 2.950 0.000
Sc 0.000 0.000 0.000
La -1.473 3.340 4.820
Y 5.993 1.757 3.557
Y -2.628 4.923 2.678
Sc 3.155 0.000 -1.702
Sc 1.119 2.950 -1.702
Y -0.402 1.698 2.679
Y 0.730 4.860 1.352
Y 0.905 4.981 5.101
Y 3.767 4.981 3.557
Y 2.635 1.819 4.884
Y 2.460 1.698 1.135
```

Computed properties:
M_tot (μB/f.u.): 0.00
Calculated volume (Å³ per cell): 392
Symmetry: R-3m (166)
ΔE_f (eV/atom): 0.24

(9)
DFT (PBE) results for an optimized crystal structure of LaY2Sc2.

```
10
Lattice="9.189 0.000 0.000 0.000 9.189 0.000 0.000 0.000 3.627" Properties=species:S:1:pos:R:3 pbc="T T T"
Sc 3.042 1.553 1.814
La 4.595 4.595 0.000
Y 3.426 8.020 0.000
La 0.000 0.000 0.000
Sc 1.553 6.147 1.814
Y 1.169 3.426 0.000
Y 8.020 5.763 0.000
Sc 7.636 3.042 1.814
Y 5.763 1.169 0.000
Sc 6.147 7.636 1.814
```

Computed properties:
M_tot (μB/f.u.): 0.00
Calculated volume (Å³ per cell): 306
Symmetry: P4/mbm (127)
ΔE_f (eV/atom): 0.09

(10)
DFT (PBE) results for an optimized crystal structure of La5Y2Sc.

```
16
Lattice="5.189 0.000 0.000 0.000 7.217 0.000 0.000 0.000 14.498" Properties=species:S:1:pos:R:3 pbc="T T T"
Sc 0.000 0.000 7.249
La 0.000 3.609 7.249
La 0.000 3.544 10.952
Y 2.595 5.441 1.780
Y 2.595 1.833 5.469
La 0.000 3.674 3.546
La 2.595 1.743 9.003
La 2.595 5.474 5.494
Y 2.595 5.385 9.029
La 2.595 5.352 12.743
La 2.595 1.866 1.755
La 0.000 7.152 10.795
Y 2.595 1.776 12.717
La 0.000 0.065 3.703
Sc 0.000 3.609 0.000
La 0.000 0.000 0.000
```

Computed properties:
M_tot (μB/f.u.): 0.00
Calculated volume (Å³ per cell): 543
Symmetry: Pbam (55)
ΔE_f (eV/atom): 0.04

Copy entry 3 word for word.
DFT (PBE) results for an optimized crystal structure of La6Y2Sc.

```
18
Lattice="-0.525 -0.659 6.305 9.878 5.118 4.839 2.804 10.766 4.840" Properties=species:S:1:pos:R:3 pbc="T T T"
Y 8.751 12.996 8.875
La 9.725 7.492 11.567
La 8.064 5.266 4.540
La 3.709 5.378 8.429
Sc 5.854 7.522 9.568
Y 3.406 2.229 7.108
La 2.431 7.733 4.416
Y 10.473 11.081 12.027
La 9.069 6.525 8.290
La 7.470 10.088 10.706
Sc 6.302 7.703 6.415
La 4.093 9.958 11.443
La 6.740 3.754 7.568
La 5.416 11.471 8.415
Y 1.683 4.144 3.956
La 3.088 8.700 7.693
La 4.687 5.137 5.277
La 8.447 9.847 7.554
```

Computed properties:
M_tot (μB/f.u.): 0.00
Calculated volume (Å³ per cell): 617
Symmetry: C2/c (15)
ΔE_f (eV/atom): 0.13